1.
Computed, not measured: a relaxed Cd3BiW crystal at the PBE-GGA level of DFT.

```
Cd3BiW
1.0
5.728 0.000 0.000
0.000 5.728 0.000
0.000 0.000 5.728
Cd Bi W
3 1 1
Cartesian
0.000 0.000 2.864
0.000 2.864 0.000
2.864 0.000 0.000
0.000 0.000 0.000
2.864 2.864 2.864
```

Values from the calculation:
* distance to the lowest polymorph of the same formula: 493.5 meV/atom
* ρ: 6.5 g/cm3
* D(E_F): 0.644 states/eV/atom
* formation energy from the elements: 1661.2 meV/atom

---

2.
Computed, not measured: a relaxed Cd2BiW2 crystal at the PBE-GGA level of DFT.

```
Cd2BiW2
1.0
-1.802 1.802 9.189
1.802 -1.802 9.189
1.802 1.802 -9.189
Cd Bi W
2 1 2
Cartesian
0.000 0.000 2.173
0.000 0.000 16.205
0.000 0.000 9.189
1.802 0.000 4.594
0.000 1.802 4.594
```

Values from the calculation:
* distance to the lowest polymorph of the same formula: 0.0 meV/atom
* ρ: 11.1 g/cm3
* D(E_F): 0.750 states/eV/atom
* formation energy from the elements: 777.1 meV/atom

---

3.
Computed, not measured: a relaxed Zr2CdBiW crystal at the PBE-GGA level of DFT.

```
Zr2CdBiW
1.0
5.212 0.000 0.000
0.000 5.212 0.000
0.000 0.000 4.983
Zr Cd Bi W
2 1 1 1
Cartesian
0.000 2.606 0.000
2.606 0.000 0.000
0.000 0.000 0.000
2.606 2.606 2.491
0.000 0.000 2.491
```

Values from the calculation:
* ρ: 8.4 g/cm3
* D(E_F): 1.011 states/eV/atom
* formation energy from the elements: 1401.1 meV/atom

---

4.
Computed, not measured: a relaxed YCd2Bi2 crystal at the PBE-GGA level of DFT.

```
YCd2Bi2
1.0
-2.392 2.392 6.628
2.392 -2.392 6.628
2.392 2.392 -6.628
Y Cd Bi
1 2 2
Cartesian
0.000 0.000 0.000
0.000 0.000 5.309
0.000 0.000 7.948
2.392 0.000 3.314
0.000 2.392 3.314
```

Values from the calculation:
* distance to the lowest polymorph of the same formula: 230.1 meV/atom
* ρ: 8.0 g/cm3
* D(E_F): 0.777 states/eV/atom
* formation energy from the elements: 20.0 meV/atom

---

5.
Computed, not measured: a relaxed YCd2Bi2 crystal at the PBE-GGA level of DFT.

```
YCd2Bi2
1.0
-2.075 2.075 8.813
2.075 -2.075 8.813
2.075 2.075 -8.813
Y Cd Bi
1 2 2
Cartesian
0.000 0.000 0.000
2.075 0.000 4.406
0.000 2.075 4.406
0.000 0.000 7.232
0.000 0.000 10.393
```

Values from the calculation:
* distance to the lowest polymorph of the same formula: 0.0 meV/atom
* ρ: 8.0 g/cm3
* D(E_F): 0.466 states/eV/atom
* formation energy from the elements: -210.1 meV/atom

---

6.
Computed, not measured: a relaxed YCdBi3 crystal at the PBE-GGA level of DFT.

```
YCdBi3
1.0
5.612 0.000 0.000
0.000 5.612 0.000
0.000 0.000 5.612
Y Cd Bi
1 1 3
Cartesian
0.000 0.000 0.000
2.806 2.806 2.806
0.000 2.806 2.806
2.806 0.000 2.806
2.806 2.806 0.000
```

Values from the calculation:
* distance to the lowest polymorph of the same formula: 67.1 meV/atom
* ρ: 7.8 g/cm3
* D(E_F): 1.029 states/eV/atom
* formation energy from the elements: 380.8 meV/atom

---

7.
Computed, not measured: a relaxed Y3CdBi crystal at the PBE-GGA level of DFT.

```
Y3CdBi
1.0
5.603 0.000 0.000
0.000 5.603 0.000
0.000 0.000 5.603
Y Cd Bi
3 1 1
Cartesian
0.000 0.000 2.802
0.000 2.802 0.000
2.802 0.000 0.000
0.000 0.000 0.000
2.802 2.802 2.802
```

Values from the calculation:
* distance to the lowest polymorph of the same formula: 0.0 meV/atom
* ρ: 5.6 g/cm3
* D(E_F): 0.412 states/eV/atom
* formation energy from the elements: 52.4 meV/atom

---

8.
Computed, not measured: a relaxed Y3Cd5Bi12 crystal at the PBE-GGA level of DFT.

```
Y3Cd5Bi12
1.0
-9.127 9.127 9.127
9.127 -9.127 9.127
9.127 9.127 -9.127
Y Cd Bi
12 20 48
Cartesian
4.564 2.282 0.000
9.127 4.564 -2.282
2.282 0.000 4.564
11.409 0.000 4.564
0.000 4.564 2.282
4.564 -2.282 9.127
4.564 11.409 0.000
9.127 4.564 6.845
-2.282 9.127 4.564
6.845 9.127 4.564
0.000 4.564 11.409
4.564 6.845 9.127
0.000 0.000 0.000
4.564 4.564 -4.564
4.564 -4.564 4.564
9.127 0.000 0.000
13.691 2.282 0.000
9.127 -4.564 6.845
6.845 9.127 -4.564
6.845 0.000 4.564
4.564 6.845 0.000
9.127 4.564 2.282
-4.564 4.564 4.564
0.000 9.127 0.000
0.000 0.000 9.127
4.564 4.564 4.564
0.000 4.564 6.845
4.564 2.282 9.127
2.282 9.127 4.564
2.282 0.000 13.691
0.000 13.691 2.282
-4.564 6.845 9.127
2.876 -0.144 1.427
10.815 5.990 -4.708
8.983 -1.427 2.876
13.835 -1.687 3.137
12.003 0.144 1.427
10.815 -3.137 4.708
1.427 2.876 -0.144
12.264 4.419 -1.687
5.990 4.708 -1.687
7.700 2.876 0.144
-0.144 1.427 2.876
4.708 -1.687 5.990
8.983 7.700 -2.876
4.708 1.687 3.137
7.700 -2.876 8.983
5.990 -4.708 10.815
3.137 4.708 1.687
10.554 6.251 0.144
2.876 8.983 -1.427
10.815 3.137 4.419
4.708 10.815 -3.137
8.983 1.427 6.251
1.687 3.137 4.708
2.876 0.144 7.700
6.251 8.983 1.427
7.440 5.990 4.419
0.144 7.700 2.876
4.419 -1.687 12.264
-1.687 5.990 4.708
6.251 0.144 10.554
-1.427 2.876 8.983
5.990 4.419 7.440
3.137 13.835 -1.687
1.427 12.003 0.144
4.419 7.440 5.990
0.144 1.427 12.003
4.419 10.815 3.137
9.271 7.700 6.251
1.427 6.251 8.983
3.137 4.419 10.815
-3.137 4.708 10.815
7.700 6.251 9.271
-1.687 12.264 4.419
-2.876 8.983 7.700
-4.708 10.815 5.990
0.144 10.554 6.251
-1.687 3.137 13.835
6.251 9.271 7.700
```

Values from the calculation:
* ρ: 7.3 g/cm3
* D(E_F): 0.470 states/eV/atom
* formation energy from the elements: -63.2 meV/atom

---

9.
Computed, not measured: a relaxed Y2CdBi2 crystal at the PBE-GGA level of DFT.

```
Y2CdBi2
1.0
8.425 0.000 0.000
0.000 8.425 0.000
0.000 0.000 4.148
Y Cd Bi
4 2 4
Cartesian
1.305 2.908 0.000
2.908 7.121 0.000
5.517 1.305 0.000
7.121 5.517 0.000
0.000 0.000 2.074
4.213 4.213 2.074
1.267 5.480 2.074
2.946 1.267 2.074
5.480 7.158 2.074
7.158 2.946 2.074
```

Values from the calculation:
* distance to the lowest polymorph of the same formula: 13.3 meV/atom
* ρ: 8.0 g/cm3
* D(E_F): 0.181 states/eV/atom
* formation energy from the elements: -530.7 meV/atom

---

10.
Computed, not measured: a relaxed Y2CdBi2 crystal at the PBE-GGA level of DFT.

```
Y2CdBi2
1.0
8.510 0.000 0.000
0.000 8.510 0.000
0.000 0.000 4.147
Y Cd Bi
4 2 4
Cartesian
1.255 3.000 0.000
3.000 7.255 0.000
5.509 1.255 0.000
7.255 5.509 0.000
0.000 0.000 0.000
4.255 4.255 0.000
1.341 5.596 2.073
2.914 1.341 2.073
5.596 7.169 2.073
7.169 2.914 2.073
```

Values from the calculation:
* distance to the lowest polymorph of the same formula: 0.0 meV/atom
* ρ: 7.8 g/cm3
* D(E_F): 0.126 states/eV/atom
* formation energy from the elements: -544.1 meV/atom

---

11.
Computed, not measured: a relaxed YCdBi3 crystal at the PBE-GGA level of DFT.

```
YCdBi3
1.0
5.904 0.000 0.000
0.000 5.904 0.000
0.000 0.000 5.904
Y Cd Bi
1 1 3
Cartesian
0.000 0.000 0.000
2.952 2.952 2.952
0.000 0.000 2.952
0.000 2.952 0.000
2.952 0.000 0.000
```

Values from the calculation:
* distance to the lowest polymorph of the same formula: 0.0 meV/atom
* ρ: 6.7 g/cm3
* D(E_F): 0.860 states/eV/atom
* formation energy from the elements: 313.8 meV/atom

---

12.
Computed, not measured: a relaxed Y6Cd5Bi crystal at the PBE-GGA level of DFT.

```
Y6Cd5Bi
1.0
-2.677 3.718 8.046
2.677 -3.718 8.046
2.677 3.718 -8.046
Y Cd Bi
6 5 1
Cartesian
2.677 1.850 -2.702
0.000 1.834 0.000
2.677 1.850 2.702
0.000 1.868 5.344
0.000 5.603 0.000
0.000 1.868 10.748
2.677 0.000 0.000
0.000 0.000 2.686
2.677 0.000 5.239
0.000 3.718 2.807
0.000 0.000 13.406
0.000 0.000 8.046
```

Values from the calculation:
* ρ: 6.8 g/cm3
* D(E_F): 1.021 states/eV/atom
* formation energy from the elements: -405.9 meV/atom